TbZnAg: relaxed, PBE.

Cell lengths 4.6585, 4.6585, 3.3869 Å; angles 90.00, 90.00, 120.00 degrees
Atoms (fractional coordinates):
Tb (0.0000, 0.0000, 0.0000)
Zn (0.6667, 0.3333, 0.5000)
Ag (0.3333, 0.6667, 0.5000)

Properties
E_form   -0.32 eV per atom
Crystal system   hexagonal
E   -3.242 eV per atom